No. 1
16
Lattice="-7.666 -1.771 -1.155 1.889 -7.653 -0.804 2.221 3.998 6.507" Properties=species:S:1:pos:R:3 comment="Li4Ho3MnSe8, relaxed, DFT PBE" raw_formation_energy_ev_per_atom=-1.43 dos_ef_per_ev_atom=0.14 mass_density_g_cm3=5.7 pbc="T T T"
Se -0.411 -6.108 -0.832
Se -4.193 -1.206 2.303
Se 0.637 -4.220 2.244
Se -4.457 -7.043 -1.442
Se -3.145 0.681 5.380
Se -0.338 -0.329 2.747
Se -3.218 -5.097 1.800
Se 0.901 1.616 5.990
Li 0.000 0.000 0.000
Li -3.833 -0.885 -0.578
Li 1.110 1.999 3.253
Li -2.723 1.113 2.676
Ho -1.778 -2.713 2.274
Ho -2.888 -4.712 -0.980
Ho 2.055 -1.828 2.851
Mn 0.945 -3.827 -0.402


No. 2
4
Lattice="8.415 -1.631 -0.004 8.415 1.631 -0.004 8.100 0.000 2.804" Properties=species:S:1:pos:R:3 comment="MnPSe2, relaxed, DFT PBE" raw_formation_energy_ev_per_atom=-0.03 dos_ef_per_ev_atom=0.37 mass_density_g_cm3=5.3 pbc="T T T"
Se 19.469 0.000 2.183
Se 24.233 0.000 2.717
P 5.956 0.000 0.668
Mn 12.665 0.000 1.420


No. 3
10
Lattice="-0.588 -3.545 -2.263 3.098 -1.911 2.188 -7.549 -3.576 7.564" Properties=species:S:1:pos:R:3 comment="LiCa2Al4Au3, relaxed, DFT PBE" formation_enthalpy_0k_mev_per_atom=-554 dos_ef_per_ev_atom=0.46 mass_density_g_cm3=6.4 pbc="T T T"
Al -1.194 -2.255 3.842
Al 1.255 -2.728 -0.038
Al 0.000 0.000 0.000
Al -5.100 -4.049 3.684
Au 0.512 -1.447 2.133
Au -6.806 -4.857 5.393
Au -3.774 -1.788 3.782
Ca -2.160 -2.656 0.738
Ca -4.134 -3.648 6.788
Li -2.520 -4.516 3.744


No. 4
10
Lattice="-1.782 -2.450 -3.221 3.508 -2.690 0.106 -4.976 -6.197 7.468" Properties=species:S:1:pos:R:3 comment="Th2Zn3InAu4, relaxed, DFT PBE" formation_enthalpy_0k_mev_per_atom=-434 dos_ef_per_ev_atom=0.81 mass_density_g_cm3=12.2 pbc="T T T"
Zn -2.488 -3.098 3.734
Zn 1.130 -2.122 0.989
Zn -5.244 -6.645 4.922
Th -2.054 -2.673 0.134
Th -2.060 -6.094 5.776
In -1.625 -5.669 2.177
Au 0.000 0.000 0.000
Au 0.863 -2.570 -1.558
Au -4.109 -5.233 3.219
Au -0.004 -3.534 2.691


No. 5
4
Lattice="5.309 0.034 0.000 1.859 4.973 0.000 -3.584 -2.504 3.012" Properties=species:S:1:pos:R:3 comment="CuHg2As, relaxed, DFT PBE" formation_enthalpy_0k_mev_per_atom=351 dos_ef_per_ev_atom=0.41 mass_density_g_cm3=11.3 pbc="T T T"
Hg 0.929 2.486 1.506
Hg 0.000 0.000 0.000
Cu 2.654 0.017 1.506
As 3.584 2.504 0.000


No. 6
16
Lattice="4.293 0.000 0.000 0.000 4.583 0.000 0.000 0.000 8.497" Properties=species:S:1:pos:R:3 comment="MgH2Pd, relaxed, DFT PBE" dos_ef_per_ev_atom=0.16 total_energy_ev_per_atom=-3.61 mass_density_g_cm3=5.3 pbc="T T T"
H 0.570 3.756 0.138
H 2.853 2.964 1.902
H 0.570 1.464 4.111
H 2.717 0.828 8.359
H 0.707 1.619 6.595
H 2.853 0.672 2.346
H 0.707 3.911 6.150
H 2.717 3.119 4.386
Mg 2.179 0.476 5.372
Mg 2.179 2.768 7.373
Mg 0.033 1.815 1.124
Mg 0.033 4.107 3.125
Pd 1.909 1.963 3.142
Pd 4.055 2.620 5.355
Pd 1.909 4.254 1.107
Pd 4.055 0.329 7.390


- Which formula does entry 6 have?
  MgH2Pd